## PuHf4Zr (PBE-GGA)

Data for PuHf4Zr after structural relaxation.

abc: 6.363 4.499 10.031
angles: 90.00 108.28 90.00
Sites, in units of the cell vectors:
Pu  0.082  0.250  0.414
Pu  0.918  0.750  0.586
Hf  0.078  0.750  0.916
Hf  0.249  0.750  0.251
Hf  0.250  0.250  0.749
Hf  0.419  0.750  0.585
Hf  0.581  0.250  0.415
Hf  0.750  0.750  0.251
Hf  0.751  0.250  0.749
Hf  0.922  0.250  0.084
Zr  0.415  0.250  0.085
Zr  0.585  0.750  0.915

Computed properties:
- M_tot: 5.4 μB/f.u.
- Energy of formation from the pure elements: 38 kJ/mol of formula units
- SG: P2_1/m
- Crystal system: monoclinic